First-principles (GGA-PBEsol) data for crystalline Li2ZnCd at its relaxed geometry, as listed in Alexandria.

Cell: 9.4349 2.8735 4.9121 Å, 90.00 101.30 90.00°
Last column: nearest neighbours and their distance in Å.
Space group Cm (No. 8)
One atom of each set of equivalent atoms:
Li 0.0000 0.0000 0.0000 x2  3 Zn 2.72-2.93, 5 Li 2.78-2.94, 4 Cd 2.82-2.88
Li 0.2362 0.0000 0.7395 x2  5 Li 2.78-2.94, 4 Zn 2.82-2.87, 3 Cd 2.84-2.86
Zn 0.2371 0.5000 0.2339 x2  7 Li 2.72-2.93, 3 Cd 2.82-2.89, 2 Zn 2.87
Cd 0.4854 0.0000 0.4879 x2  7 Li 2.82-2.88, 3 Zn 2.82-2.89, 2 Cd 2.87

Energy of formation (eV per atom): -0.1682
DFT total energy (eV per atom): -1.846